# 1
The following is a PBE calculation of a relaxed structure of SmDy3Tm5, from Alexandria via LeMat-Bulk.

- calculated formation energy (eV per atom) = 0.130
- E above lowest polymorph (meV per atom) = 0
- magnetization (μB per formula unit) = 0.0
- D(E_F) (states/eV/cell) = 22.77
- DFT total energy (eV per atom) = -4.412
- V (Å³/atom) = 31.41
- space group = No. 74

a = 9.166 Å, b = 10.426 Å, c = 7.122 Å
α = 109.97°, β = 90.00°, γ = 116.08°
Positions (direct):
Sm 0.701 0.000 0.750
Sm 0.299 0.000 0.250
Dy 0.000 0.000 0.000
Dy 0.813 0.622 0.561
Dy 0.000 0.000 0.500
Dy 0.187 0.378 0.439
Dy 0.809 0.622 0.061
Dy 0.191 0.378 0.939
Tm 0.343 0.000 0.750
Tm 0.519 0.675 0.836
Tm 0.844 0.325 0.160
Tm 0.481 0.325 0.164
Tm 0.519 0.675 0.340
Tm 0.657 0.000 0.250
Tm 0.157 0.675 0.336
Tm 0.843 0.325 0.664
Tm 0.481 0.325 0.660
Tm 0.156 0.675 0.840

=====

# 2
The following is a PBE calculation of a relaxed structure of NaPSeN2, from Alexandria via LeMat-Bulk.

- raw formation energy (meV/atom) = 2195
- E above lowest polymorph (meV per atom) = 1467
- magnetization (μB per formula unit) = 4.3
- D(E_F) (states/eV/cell) = 2.45
- DFT total energy (eV per atom) = -3.178
- V (Å³/atom) = 20.68
- space group = No. 123

a = 4.275 Å, b = 4.275 Å, c = 5.657 Å
α = 90.00°, β = 90.00°, γ = 90.00°
Last column: magnetic moment on the atom in μB.
Positions (direct):
P 0.500 0.500 0.500  -0.41
N 0.000 0.500 0.000  1.66
N 0.500 0.000 0.000  1.66
Se 0.000 0.000 0.500  0.18
Na 0.000 0.000 0.000  0.04

=====

# 3
The following is a PBE calculation of a relaxed structure of MnFe2SbC, from Alexandria via LeMat-Bulk.

- raw formation energy (meV/atom) = 105
- magnetization (μB per formula unit) = 0.0
- D(E_F) (states/eV/cell) = 2.73
- DFT total energy (eV per atom) = -7.784
- V (Å³/atom) = 11.34
- space group = No. 123

a = 3.820 Å, b = 3.820 Å, c = 3.886 Å
α = 90.00°, β = 90.00°, γ = 90.00°
Positions (direct):
Sb 0.500 0.500 0.500
C 0.000 0.000 0.000
Mn 0.000 0.000 0.500
Fe 0.000 0.500 0.000
Fe 0.500 0.000 0.000